1.
A plane-wave DFT calculation with PBE was carried out for a geometry-optimized InTe3Au2 structure.

Cell and atoms, written as extended XYZ:
```
12
Lattice="11.883 -2.203 0.000 11.883 2.203 0.000 -0.770 0.000 7.015" Properties=species:S:1:pos:R:3 pbc="T T T"
In 3.224 0.000 3.276
In 19.771 0.000 3.739
Te 1.158 0.000 6.127
Te 5.589 0.000 1.556
Te 9.389 0.000 4.854
Te 13.607 0.000 2.161
Te 17.407 0.000 5.460
Te 21.838 0.000 0.889
Au 3.841 0.000 5.921
Au 10.710 0.000 2.317
Au 12.286 0.000 4.698
Au 19.155 0.000 1.094
```

Properties
- D(E_F) (states/eV/atom) = 0.48
- total moment (μB per formula unit) = 0.000
- theoretical density (g cm⁻³) = 8.06
- symmetry = C2/m (12)
- formation energy (no corrections) (eV/atom) = -0.106



2.
A plane-wave DFT calculation with PBE was carried out for a geometry-optimized InTeAu2 structure.

Cell and atoms, written as extended XYZ:
```
8
Lattice="4.665 0.000 0.000 0.000 5.923 0.000 0.000 0.000 6.812" Properties=species:S:1:pos:R:3 pbc="T T T"
In 0.000 0.000 0.000
In 2.333 2.962 0.000
Te 0.000 0.000 3.406
Te 2.333 2.962 3.406
Au 0.000 2.962 1.557
Au 0.000 2.962 5.255
Au 2.333 0.000 1.557
Au 2.333 0.000 5.255
```

Properties
- D(E_F) (states/eV/atom) = 0.52
- total moment (μB per formula unit) = 0.000
- theoretical density (g cm⁻³) = 11.23
- symmetry = Cmmm (65)
- formation energy (no corrections) (eV/atom) = 0.095



3.
A plane-wave DFT calculation with PBE was carried out for a geometry-optimized In2TeAu2 structure.

Cell and atoms, written as extended XYZ:
```
10
Lattice="7.704 0.000 0.000 0.000 7.704 0.000 0.000 0.000 4.058" Properties=species:S:1:pos:R:3 pbc="T T T"
In 1.299 2.553 0.000
In 2.553 6.405 0.000
In 5.151 1.299 0.000
In 6.405 5.151 0.000
Te 0.000 0.000 2.029
Te 3.852 3.852 2.029
Au 1.011 4.863 2.029
Au 2.841 1.011 2.029
Au 4.863 6.693 2.029
Au 6.693 2.841 2.029
```

Properties
- D(E_F) (states/eV/atom) = 0.47
- total moment (μB per formula unit) = 0.000
- theoretical density (g cm⁻³) = 10.36
- symmetry = P4/mbm (127)
- formation energy (no corrections) (eV/atom) = -0.105



4.
A plane-wave DFT calculation with PBE was carried out for a geometry-optimized InTe2Au2 structure.

Cell and atoms, written as extended XYZ:
```
10
Lattice="4.119 0.000 0.000 0.000 4.119 0.000 0.000 0.000 15.603" Properties=species:S:1:pos:R:3 pbc="T T T"
In 0.000 0.000 0.000
In 2.059 2.059 7.801
Te 0.000 0.000 5.955
Te 0.000 0.000 9.648
Te 2.059 2.059 1.846
Te 2.059 2.059 13.757
Au 0.000 2.059 3.901
Au 0.000 2.059 11.702
Au 2.059 0.000 3.901
Au 2.059 0.000 11.702
```

Properties
- D(E_F) (states/eV/atom) = 0.43
- total moment (μB per formula unit) = 0.000
- theoretical density (g cm⁻³) = 9.59
- symmetry = I4/mmm (139)
- formation energy (no corrections) (eV/atom) = -0.013



5.
A plane-wave DFT calculation with PBE was carried out for a geometry-optimized InTe2Au structure.

Cell and atoms, written as extended XYZ:
```
4
Lattice="4.606 0.000 0.000 -0.005 4.607 0.000 -0.001 -0.002 6.487" Properties=species:S:1:pos:R:3 pbc="T T T"
In 0.000 0.000 0.000
Te 2.301 0.007 1.725
Te 4.587 2.302 4.763
Au 2.279 2.312 3.243
```

Properties
- D(E_F) (states/eV/atom) = 0.00
- total moment (μB per formula unit) = 0.000
- theoretical density (g cm⁻³) = 6.84
- symmetry = P1 (1)
- formation energy (no corrections) (eV/atom) = -0.234



6.
A plane-wave DFT calculation with PBE was carried out for a geometry-optimized In2TeAu structure.

Cell and atoms, written as extended XYZ:
```
4
Lattice="4.068 0.000 0.000 0.000 4.068 0.000 0.000 0.000 7.061" Properties=species:S:1:pos:R:3 pbc="T T T"
In 0.000 0.000 0.000
In 2.034 2.034 3.015
Te 0.000 0.000 3.978
Au 2.034 2.034 0.255
```

Properties
- D(E_F) (states/eV/atom) = 0.18
- total moment (μB per formula unit) = 0.000
- theoretical density (g cm⁻³) = 7.88
- symmetry = P4mm (99)
- formation energy (no corrections) (eV/atom) = -0.166



7.
A plane-wave DFT calculation with PBE was carried out for a geometry-optimized InTe2Au structure.

Cell and atoms, written as extended XYZ:
```
8
Lattice="4.693 0.000 0.000 0.033 7.460 0.000 0.057 1.405 7.523" Properties=species:S:1:pos:R:3 pbc="T T T"
In 0.000 0.000 0.000
In 1.644 4.294 1.022
Te 0.154 6.274 2.584
Te 2.433 7.528 6.356
Te 3.285 2.912 2.909
Te 4.666 4.151 6.775
Au 1.726 3.626 4.893
Au 1.999 0.635 2.791
```

Properties
- D(E_F) (states/eV/atom) = 0.00
- total moment (μB per formula unit) = 0.000
- theoretical density (g cm⁻³) = 7.15
- symmetry = P1 (1)
- formation energy (no corrections) (eV/atom) = -0.200



8.
A plane-wave DFT calculation with PBE was carried out for a geometry-optimized InTe2Au structure.

Cell and atoms, written as extended XYZ:
```
4
Lattice="4.624 0.000 0.000 2.304 4.010 0.000 2.310 -1.313 7.480" Properties=species:S:1:pos:R:3 pbc="T T T"
In 0.000 0.000 0.000
Te 2.311 1.339 1.227
Te 4.617 2.694 4.662
Au 6.929 1.355 4.289
```

Properties
- D(E_F) (states/eV/atom) = 0.24
- total moment (μB per formula unit) = 0.000
- theoretical density (g cm⁻³) = 6.79
- symmetry = P1 (1)
- formation energy (no corrections) (eV/atom) = -0.216



What did the eighth record say?
A plane-wave DFT calculation with PBE was carried out for a geometry-optimized InTe2Au structure.

Cell and atoms, written as extended XYZ:
```
4
Lattice="4.624 0.000 0.000 2.304 4.010 0.000 2.310 -1.313 7.480" Properties=species:S:1:pos:R:3 pbc="T T T"
In 0.000 0.000 0.000
Te 2.311 1.339 1.227
Te 4.617 2.694 4.662
Au 6.929 1.355 4.289
```

Properties
- D(E_F) (states/eV/atom) = 0.24
- total moment (μB per formula unit) = 0.000
- theoretical density (g cm⁻³) = 6.79
- symmetry = P1 (1)
- formation energy (no corrections) (eV/atom) = -0.216



Q: Which of these has the highest theoretical density?
A: InTeAu2